La2FeNiGe4: relaxed, PBE.

Calculated values
The value obtained for the total energy is -5.933 eV per atom. The total magnetic moment is 0.167 μB per atom. The symmetry is Amm2 (38).

Structure (POSCAR):
```
La2FeNiGe4
1.0
4.295 0.000 0.000
0.000 4.355 0.000
0.000 0.000 16.919
La Fe Ni Ge
4 2 2 8
direct
0.000 0.000 0.000 La
0.000 0.500 0.500 La
0.500 0.000 0.218 La
0.500 0.500 0.718 La
0.500 0.000 0.425 Fe
0.500 0.500 0.925 Fe
0.000 0.000 0.791 Ni
0.000 0.500 0.291 Ni
0.000 0.000 0.360 Ge
0.000 0.000 0.652 Ge
0.000 0.500 0.152 Ge
0.000 0.500 0.860 Ge
0.500 0.000 0.563 Ge
0.500 0.000 0.859 Ge
0.500 0.500 0.063 Ge
0.500 0.500 0.359 Ge
```